NaAcCr2O8, relaxed, DFT PBE+U; density of states at the Fermi level = 0.00 states/eV/atom; E = -81.95 eV for the cell shown; SG = R-3
1.0
-0.743 -5.205 -0.206
3.110 -2.985 -3.017
5.301 -3.592 4.429
Na Ac Cr O
1 1 2 8
direct
0.000 0.000 0.000
0.500 0.500 0.500
0.244 0.244 0.268
0.756 0.756 0.732
0.166 0.166 0.502
0.536 0.323 0.204
0.834 0.834 0.498
0.938 0.536 0.204
0.062 0.464 0.796
0.323 0.938 0.204
0.677 0.062 0.796
0.464 0.677 0.796